# 1
This record from Alexandria describes a geometry-optimized LiSn2Ir2 structure. The functional is PBEsol.

Cell lengths 4.4703, 4.4703, 6.1010 Å; angles 111.49, 111.49, 90.00 degrees
Sites, in units of the cell vectors:
Ir 0.3845 0.3845 0.7691
Ir 0.6155 0.6155 0.2309
Sn 0.7500 0.2500 0.5000
Sn 0.2500 0.7500 0.5000
Li 0.0000 0.0000 0.0000

Computed properties:
For the formation energy, the calculation gives -0.029 eV/atom. As for the excess energy over the best structure of this formula in the dataset: 227 meV/atom.

***

# 2
This record from Alexandria describes a geometry-optimized TeHAuI2 structure. The functional is PBEsol.

Cell lengths 3.7813, 5.5153, 5.5153 Å; angles 90.00, 90.00, 90.00 degrees
Sites, in units of the cell vectors:
I 0.0000 0.0000 0.5000
I 0.0000 0.5000 0.0000
Te 0.5000 0.0000 0.0000
Au 0.5000 0.5000 0.5000
H 0.0000 0.0000 0.0000

Computed properties:
For the total energy, the calculation gives -2.2738 eV/atom.